Here is a geometry-optimized TmThGa4 structure from Alexandria via LeMat-Bulk. Energies are from PBE.

Cell: 7.9192 7.9192 7.9192 Å, 149.23 149.23 44.07°
Fractional positions:
Tm  0.0000  0.0000  0.0000
Th  0.7500  0.2500  0.5000
Ga  0.1659  0.6659  0.5000
Ga  0.3341  0.8341  0.5000
Ga  0.4185  0.4185  0.0000
Ga  0.5815  0.5815  0.0000

Results
energy of formation from the pure elements: -0.604 eV per atom
uncorrected energy: -4.604 eV/atom
relative energy among the computed polymorphs: 0.00 eV per formula unit
SG: I-4m2 (119)